PBE HPtI3, optimized geometry; theoretical density = 5.1 Mg/m³; electronic total energy = -2.86 eV per atom
1.0
11.884 0.080 -5.616
-3.438 4.100 -0.815
-6.956 -1.455 11.739
I H Pt
6 2 2
direct
0.828 0.706 0.680
0.775 0.591 0.237
0.225 0.409 0.763
0.172 0.294 0.320
0.564 0.063 0.790
0.436 0.937 0.210
0.372 0.680 0.565
0.628 0.320 0.435
0.689 0.848 0.027
0.311 0.152 0.973

=====

PBE Tb6As2P3Se, optimized geometry; theoretical density = 7.4 Mg/m³; DOS(E_F) = 1.85 states/eV/cell; electronic total energy = -6.40 eV per atom
1.0
4.072 0.000 0.000
0.000 8.164 0.286
-2.036 -2.361 8.565
Tb P As Se
6 3 2 1
direct
0.334 0.413 0.669
0.666 0.587 0.331
0.330 0.920 0.659
0.998 0.261 0.997
0.002 0.739 0.003
0.670 0.080 0.341
0.166 0.834 0.331
0.834 0.166 0.669
0.500 0.500 0.000
0.834 0.668 0.668
0.166 0.332 0.332
0.500 0.000 0.000